Material: Cd2WIO
Method: DFT, PBE with a Hubbard U
State: optimized geometry

It has space group P4/mmm (No. 123), with a = 5.900 Å, b = 5.900 Å, c = 4.007 Å, α = 90.00°, β = 90.00° and γ = 90.00°. The asymmetric unit holds Cd at (0.000, 0.500, 0.000), W at (0.000, 0.000, 0.500), I at (0.500, 0.500, 0.000) and O at (0.500, 0.500, 0.500).

The total energy comes out at -10.6 eV for the cell shown. The size of the total moment comes out at 4.8 μB/cell.